<1>
# MgSeN2Cl

Crystalline MgSeN2Cl at its relaxed geometry (GGA-PBE, Alexandria).

Lattice parameters (Å, degrees): 4.027 5.220 4.027 90.00 90.00 90.00
Fractional positions:
Mg  0.500  0.500  0.500
N  0.000  0.000  0.500
N  0.500  0.000  0.000
Se  0.000  0.500  0.000
Cl  0.000  0.000  0.000

Computed properties:
calculated volume = 16.933 Å³ per atom

<2>
# MgSeN2Cl

Crystalline MgSeN2Cl at its relaxed geometry (GGA-PBE, Alexandria).

Lattice parameters (Å, degrees): 4.135 4.135 5.855 90.00 90.00 90.00
Fractional positions:
Mg  0.000  0.000  0.000
N  0.000  0.500  0.000
N  0.500  0.000  0.000
Se  0.000  0.000  0.500
Cl  0.500  0.500  0.500

Computed properties:
calculated volume = 20.024 Å³ per atom

Stability verdict: <2>, ahead by 381 meV per atom

<1>
# MgTeN2Cl

Crystalline MgTeN2Cl at its relaxed geometry (GGA-PBE, Alexandria).

Lattice parameters (Å, degrees): 4.180 4.180 5.411 90.00 90.00 90.00
Fractional positions:
N  0.000  0.500  0.000
N  0.500  0.000  0.000
Mg  0.500  0.500  0.500
Te  0.000  0.000  0.500
Cl  0.000  0.000  0.000

Computed properties:
calculated volume = 18.905 Å³ per atom

<2>
# MgTeN2Cl

Crystalline MgTeN2Cl at its relaxed geometry (GGA-PBE, Alexandria).

Lattice parameters (Å, degrees): 4.198 4.198 6.309 90.00 90.00 90.00
Fractional positions:
N  0.000  0.500  0.000
N  0.500  0.000  0.000
Mg  0.000  0.000  0.000
Te  0.000  0.000  0.500
Cl  0.500  0.500  0.500

Computed properties:
calculated volume = 22.240 Å³ per atom

Stability verdict: <2>, ahead by 564 meV per atom

<1>
# MgTe2NCl

Crystalline MgTe2NCl at its relaxed geometry (GGA-PBE, Alexandria).

Lattice parameters (Å, degrees): 5.724 5.724 3.904 90.00 90.00 90.00
Fractional positions:
N  0.000  0.000  0.500
Mg  0.000  0.000  0.000
Te  0.000  0.500  0.000
Te  0.500  0.000  0.000
Cl  0.500  0.500  0.500

Computed properties:
calculated volume = 25.577 Å³ per atom

<2>
# MgTe2NCl

Crystalline MgTe2NCl at its relaxed geometry (GGA-PBE, Alexandria).

Lattice parameters (Å, degrees): 6.265 6.265 3.290 90.00 90.00 90.00
Fractional positions:
N  0.000  0.000  0.500
Mg  0.500  0.500  0.500
Te  0.000  0.500  0.000
Te  0.500  0.000  0.000
Cl  0.000  0.000  0.000

Computed properties:
calculated volume = 25.822 Å³ per atom

Stability verdict: <1>, ahead by 330 meV per atom

<1>
# NaMg3Cl

Crystalline NaMg3Cl at its relaxed geometry (GGA-PBE, Alexandria).

Lattice parameters (Å, degrees): 5.685 5.685 5.685 90.00 90.00 90.00
Fractional positions:
Na  0.000  0.000  0.000
Mg  0.000  0.500  0.000
Mg  0.000  0.000  0.500
Mg  0.500  0.000  0.000
Cl  0.500  0.500  0.500

Computed properties:
calculated volume = 36.745 Å³ per atom

<2>
# NaMg3Cl

Crystalline NaMg3Cl at its relaxed geometry (GGA-PBE, Alexandria).

Lattice parameters (Å, degrees): 5.285 5.285 5.285 90.00 90.00 90.00
Fractional positions:
Na  0.500  0.500  0.500
Mg  0.000  0.500  0.000
Mg  0.000  0.000  0.500
Mg  0.500  0.000  0.000
Cl  0.000  0.000  0.000

Computed properties:
calculated volume = 29.521 Å³ per atom

Stability verdict: <2>, ahead by 302 meV per atom

<1>
# Na2MgCl

Crystalline Na2MgCl at its relaxed geometry (GGA-PBE, Alexandria).

Lattice parameters (Å, degrees): 8.172 8.172 6.897 53.67 53.67 90.00
Fractional positions:
Na  0.692  0.125  0.250
Na  0.058  0.625  0.250
Na  0.375  0.308  0.750
Na  0.875  0.942  0.750
Mg  0.500  0.500  0.000
Mg  0.250  0.750  0.500
Cl  0.000  0.000  0.000
Cl  0.750  0.250  0.500

Computed properties:
calculated volume = 31.430 Å³ per atom

<2>
# Na2MgCl

Crystalline Na2MgCl at its relaxed geometry (GGA-PBE, Alexandria).

Lattice parameters (Å, degrees): 5.498 5.498 5.498 60.00 60.00 60.00
Fractional positions:
Na  0.250  0.250  0.250
Na  0.750  0.750  0.750
Mg  0.000  0.000  0.000
Cl  0.500  0.500  0.500

Computed properties:
calculated volume = 29.380 Å³ per atom

Stability verdict: <1>, ahead by 182 meV per atom

<1>
# NaMg2Cl

Crystalline NaMg2Cl at its relaxed geometry (GGA-PBE, Alexandria).

Lattice parameters (Å, degrees): 8.649 8.649 6.781 50.38 50.38 90.00
Fractional positions:
Na  0.500  0.500  0.000
Na  0.250  0.750  0.500
Mg  0.675  0.125  0.250
Mg  0.075  0.625  0.250
Mg  0.375  0.325  0.750
Mg  0.875  0.925  0.750
Cl  0.000  0.000  0.000
Cl  0.750  0.250  0.500

Computed properties:
calculated volume = 27.390 Å³ per atom

<2>
# NaMg2Cl

Crystalline NaMg2Cl at its relaxed geometry (GGA-PBE, Alexandria).

Lattice parameters (Å, degrees): 5.508 5.508 5.508 60.00 60.00 60.00
Fractional positions:
Na  0.000  0.000  0.000
Mg  0.250  0.250  0.250
Mg  0.750  0.750  0.750
Cl  0.500  0.500  0.500

Computed properties:
calculated volume = 29.534 Å³ per atom

Stability verdict: <1>, ahead by 361 meV per atom